## P
Density functional theory data (meta-GGA SCAN) for a crystal of InIrAu relaxed with PBEsol.

Cell lengths 2.9853, 2.9853, 6.6133 Å; angles 90.00, 90.00, 120.00 degrees
Last column: nearest neighbours and their distance in Å.
Fractional coordinates of all 3 atoms:
In: 0.3333 0.6667 0.6580  3 Ir 2.72, 3 Au 2.86, 6 In 2.99
Au: 0.0000 0.0000 0.0026  3 Ir 2.82, 3 In 2.86, 6 Au 2.99
Ir: 0.6667 0.3333 0.3394  3 In 2.72, 3 Au 2.82, 6 Ir 2.99

Computed properties:
The calculation puts the theoretical density at 16.397 Mg/m³. The total magnetization comes out at 0.000 μB per formula unit. Its space group is P3m1, No. 156.

## Q
Density functional theory data (meta-GGA SCAN) for a crystal of InIrAu relaxed with PBEsol.

Cell lengths 4.3864, 4.3864, 4.3864 Å; angles 60.00, 60.00, 60.00 degrees
Last column: nearest neighbours and their distance in Å.
Fractional coordinates of all 3 atoms:
In: 0.5000 0.5000 0.5000  4 Ir 2.69
Au: 0.0000 0.0000 0.0000  4 Ir 2.69
Ir: 0.2500 0.2500 0.2500  4 In 2.69, 4 Au 2.69

Computed properties:
The calculation puts the theoretical density at 14.024 Mg/m³. The total magnetization comes out at 0.000 μB per formula unit. Its space group is F-43m, No. 216.

The least stable of them is P.

## P
Density functional theory data (meta-GGA SCAN) for a crystal of In2MoAu relaxed with PBEsol.

Cell lengths 2.9360, 4.9430, 5.4344 Å; angles 101.33, 90.00, 107.28 degrees
Last column: nearest neighbours and their distance in Å.
Fractional coordinates of all 4 atoms:
Au: 0.5000 0.0000 0.0000  6 In 2.88-2.98, 2 Au 2.94, 4 Mo 3.09
In: 0.7507 0.5015 0.7445  3 Mo 2.87-2.93, 3 Au 2.88-2.98, 6 In 2.94-3.14
Mo: 0.0000 0.0000 0.5000  6 In 2.87-2.93, 2 Mo 2.94, 4 Au 3.09
In: 0.2493 0.4985 0.2555  3 Mo 2.87-2.93, 3 Au 2.88-2.98, 6 In 2.94-3.14

Computed properties:
The calculation puts the theoretical density at 11.774 Mg/m³. The total magnetization comes out at 0.000 μB per formula unit. Its space group is C2/m, No. 12.

## Q
Density functional theory data (meta-GGA SCAN) for a crystal of In2MoAu relaxed with PBEsol.

Cell lengths 2.9847, 5.0378, 5.5499 Å; angles 112.31, 105.60, 90.00 degrees
Last column: nearest neighbours and their distance in Å.
Fractional coordinates of all 4 atoms:
In: 0.9907 0.9251 0.9813  4 Mo 2.85-3.02, 3 Au 2.85-2.99, 3 In 2.98-3.00
In: 0.7648 0.3346 0.5297  4 Au 2.90-2.99, 3 Mo 2.91, 5 In 2.98-3.21
Mo: 0.5111 0.4218 0.0222  7 In 2.85-3.02, 2 Au 2.85, 2 Mo 2.98
Au: 0.2334 0.8185 0.4668  7 In 2.85-2.99, 2 Mo 2.85, 2 Au 2.98

Computed properties:
The calculation puts the theoretical density at 11.746 Mg/m³. The total magnetization comes out at 0.000 μB per formula unit. Its space group is Cm, No. 8.

The least stable of them is P.

## P
Density functional theory data (meta-GGA SCAN) for a crystal of InTeAu2 relaxed with PBEsol.

Cell lengths 2.9342, 5.5951, 5.5951 Å; angles 89.60, 90.00, 90.00 degrees
Last column: nearest neighbours and their distance in Å.
Fractional coordinates of all 4 atoms:
Te: 0.0000 0.5000 0.5000  4 Au 2.80, 2 Te 2.93
Au: 0.0000 0.5000 0.0000  2 Te 2.80, 2 In 2.80, 2 Au 2.93
In: 0.0000 0.0000 0.0000  4 Au 2.80, 2 In 2.93
Au: 0.0000 0.0000 0.5000  2 In 2.80, 2 Te 2.80, 2 Au 2.93

Computed properties:
The calculation puts the theoretical density at 11.504 Mg/m³. The total magnetization comes out at 0.000 μB per formula unit. Its space group is Cmmm, No. 65.

## Q
Density functional theory data (meta-GGA SCAN) for a crystal of InTeAu2 relaxed with PBEsol.

Cell lengths 4.1260, 4.1260, 6.5554 Å; angles 71.66, 71.66, 60.00 degrees
Last column: nearest neighbours and their distance in Å.
Fractional coordinates of all 4 atoms:
Au: 0.7535 0.7535 0.7396  3 In 2.80, 3 Te 2.86
In: 0.5000 0.5000 0.5000  6 Au 2.80
Au: 0.2465 0.2465 0.2604  3 In 2.80, 3 Te 2.86
Te: 0.0000 0.0000 0.0000  6 Au 2.86

Computed properties:
The calculation puts the theoretical density at 11.736 Mg/m³. The total magnetization comes out at 0.000 μB per formula unit. Its space group is R-3m, No. 166.

The least stable of them is P.

## P
Density functional theory data (meta-GGA SCAN) for a crystal of InTeAu2 relaxed with PBEsol.

Cell lengths 3.8230, 3.8230, 5.8212 Å; angles 90.00, 90.00, 90.00 degrees
Last column: nearest neighbours and their distance in Å.
Fractional coordinates of all 4 atoms:
Au: 0.0000 0.0000 0.2430  2 Au 2.83-2.99, 4 In 3.05, 4 Te 3.09
Te: 0.5000 0.5000 0.5000  2 In 2.91, 8 Au 3.09
In: 0.5000 0.5000 0.0000  2 Te 2.91, 8 Au 3.05
Au: 0.0000 0.0000 0.7570  2 Au 2.83-2.99, 4 In 3.05, 4 Te 3.09

Computed properties:
The calculation puts the theoretical density at 12.420 Mg/m³. The total magnetization comes out at 0.000 μB per formula unit. Its space group is P4/mmm, No. 123.

## Q
Density functional theory data (meta-GGA SCAN) for a crystal of InTeAu2 relaxed with PBEsol.

Cell lengths 3.1999, 3.1999, 8.3842 Å; angles 90.00, 90.00, 90.00 degrees
Last column: nearest neighbours and their distance in Å.
Fractional coordinates of all 4 atoms:
Te: 0.5000 0.5000 0.7799  4 Au 3.07, 4 Te 3.20
Au: 0.5000 0.5000 0.2380  8 Au 2.87-3.20, 4 In 2.90
In: 0.0000 0.0000 0.4552  4 Au 2.90, 4 In 3.20
Au: 0.0000 0.0000 0.0269  8 Au 2.87-3.20, 4 Te 3.07

Computed properties:
The calculation puts the theoretical density at 12.309 Mg/m³. The total magnetization comes out at 0.000 μB per formula unit. Its space group is P4mm, No. 99.

## R
Density functional theory data (meta-GGA SCAN) for a crystal of InTeAu2 relaxed with PBEsol.

Cell lengths 3.9874, 3.9874, 5.7220 Å; angles 90.00, 90.00, 90.00 degrees
Last column: nearest neighbours and their distance in Å.
Fractional coordinates of all 4 atoms:
Te: 0.5000 0.5000 0.5000  6 Au 2.82-2.86
Au: 0.0000 0.0000 0.5000  4 Te 2.82, 2 In 2.86
In: 0.0000 0.0000 0.0000  6 Au 2.82-2.86
Au: 0.5000 0.5000 0.0000  4 In 2.82, 2 Te 2.86

Computed properties:
The calculation puts the theoretical density at 11.615 Mg/m³. The total magnetization comes out at 0.000 μB per formula unit. Its space group is P4/mmm, No. 123.

The least stable of them is Q.

## P
Density functional theory data (meta-GGA SCAN) for a crystal of TlIn2Au relaxed with PBEsol.

Cell lengths 3.3411, 3.3411, 8.4618 Å; angles 90.00, 90.00, 90.00 degrees
Last column: nearest neighbours and their distance in Å.
Fractional coordinates of all 4 atoms:
Tl: 0.0000 0.0000 0.5317  4 Au 3.10, 4 Tl 3.34, 4 In 3.44
In: 0.5000 0.5000 0.2365  8 In 3.30-3.34, 4 Tl 3.44
Au: 0.5000 0.5000 0.7683  4 In 2.88, 4 Tl 3.10
In: 0.0000 0.0000 0.9635  4 Au 2.88

Computed properties:
The calculation puts the theoretical density at 11.092 Mg/m³. The total magnetization comes out at 0.000 μB per formula unit. Its space group is P4mm, No. 99.

## Q
Density functional theory data (meta-GGA SCAN) for a crystal of TlIn2Au relaxed with PBEsol.

Cell lengths 4.4098, 4.5801, 4.5801 Å; angles 90.00, 90.00, 90.00 degrees
Last column: nearest neighbours and their distance in Å.
Fractional coordinates of all 4 atoms:
Au: 0.5000 0.0000 0.0000  8 In 3.18, 4 Tl 3.24
In: 0.0000 0.5000 0.0000  4 Tl 3.18, 4 Au 3.18, 4 In 3.24
In: 0.0000 0.0000 0.5000  4 Tl 3.18, 4 Au 3.18, 4 In 3.24
Tl: 0.5000 0.5000 0.5000  8 In 3.18, 4 Au 3.24

Computed properties:
The calculation puts the theoretical density at 11.326 Mg/m³. The total magnetization comes out at 0.000 μB per formula unit. Its space group is P4/mmm, No. 123.

## R
Density functional theory data (meta-GGA SCAN) for a crystal of TlIn2Au relaxed with PBEsol.

Cell lengths 3.2716, 3.2716, 8.8014 Å; angles 90.00, 90.00, 90.00 degrees
Last column: nearest neighbours and their distance in Å.
Fractional coordinates of all 4 atoms:
In: 0.0000 0.0000 0.2937  4 Au 2.94, 4 In 3.27
Au: 0.5000 0.5000 0.5000  8 In 2.94, 4 Au 3.27
Tl: 0.5000 0.5000 0.0000  4 Tl 3.27, 8 In 3.47
In: 0.0000 0.0000 0.7063  4 Au 2.94, 4 In 3.27

Computed properties:
The calculation puts the theoretical density at 11.122 Mg/m³. The total magnetization comes out at 0.000 μB per formula unit. Its space group is P4/mmm, No. 123.

The least stable of them is Q.